# SiAu3F

SiAu3F at its PBEsol-relaxed geometry (meta-GGA SCAN, Alexandria via LeMat-Bulk).

Summary:
**Electronic total energy**: -44.03 eV/atom
**Density**: 10.53 Mg/m³

Unit cell a=4.651 b=4.651 c=4.651 alpha=90.00 beta=90.00 gamma=90.00
Last column: magnetic moment on the atom in μB.
Sites, in units of the cell vectors:
Si1 0.000 0.000 0.000  0.02
Au1 0.000 0.500 0.000  0.07
Au2 0.000 0.000 0.500  0.07
Au3 0.500 0.000 0.000  0.07
F1 0.500 0.500 0.500  0.19



# Mg2TlCd

Mg2TlCd at its PBEsol-relaxed geometry (meta-GGA SCAN, Alexandria via LeMat-Bulk).

Summary:
**Density**: 6.87 Mg/m³
**Energy of formation**: -0.139 eV per atom

Unit cell a=3.455 b=3.738 c=6.837 alpha=90.00 beta=90.00 gamma=90.00
Sites, in units of the cell vectors:
Tl1 0.500 0.500 0.000
Mg1 0.000 0.000 0.738
Mg2 0.000 0.000 0.262
Cd1 0.500 0.500 0.500



# TiHAu2N

TiHAu2N at its PBEsol-relaxed geometry (meta-GGA SCAN, Alexandria via LeMat-Bulk).

Summary:
**Electronic total energy**: -32.97 eV/atom
**Density**: 11.51 Mg/m³

Unit cell a=3.625 b=3.625 c=5.016 alpha=90.00 beta=90.00 gamma=90.00
Last column: magnetic moment on the atom in μB.
Sites, in units of the cell vectors:
H1 0.000 0.000 0.000  0.01
N1 0.000 0.000 0.500  0.68
Au1 0.000 0.500 0.000  0.00
Au2 0.500 0.000 0.000  0.00
Ti1 0.500 0.500 0.500  -1.23